Record 1
PaVMo | PBE | relaxed

Structure (CIF):
```
data_PaVMo
_symmetry_space_group_name_H-M 'P 3 m 1'
_symmetry_Int_Tables_number 156
_symmetry_space_group_name_Hall 'P 3 -2"'
_cell_length_a 4.5207
_cell_length_b 4.5207
_cell_length_c 2.9814
_cell_angle_alpha 90.00
_cell_angle_beta 90.00
_cell_angle_gamma 120.00
loop_
_atom_site_label
_atom_site_fract_x
_atom_site_fract_y
_atom_site_fract_z
Pa1 0.0000 0.0000 0.0000
V1 0.3333 0.6667 0.6742
Mo1 0.6667 0.3333 0.2874
```

## Properties
- Energy of formation from the pure elements: 0.133 eV per atom
- Uncorrected energy: -9.682 eV per atom
- Energy relative to the lowest polymorph listed for this composition: 0 meV per atom

Record 2
V2CuRe | PBE | relaxed

Structure (CIF):
```
data_V2CuRe
_symmetry_space_group_name_H-M 'P 4/m m m'
_symmetry_Int_Tables_number 123
_symmetry_space_group_name_Hall '-P 4 2'
_cell_length_a 3.081
_cell_length_b 3.081
_cell_length_c 5.690
_cell_angle_alpha 90.00
_cell_angle_beta 90.00
_cell_angle_gamma 90.00
loop_
_atom_site_label
_atom_site_fract_x
_atom_site_fract_y
_atom_site_fract_z
V1 0.000 0.000 0.247
Cu1 0.500 0.500 0.000
Re1 0.500 0.500 0.500
```

## Properties
- Energy of formation from the pure elements: -0.057 eV per atom
- Uncorrected energy: -8.752 eV per atom
- Energy relative to the lowest polymorph listed for this composition: 0 meV per atom

Record 3
SiSbPb | PBE | relaxed

Structure (CIF):
```
data_SiSbPb
_symmetry_space_group_name_H-M 'P -6 m 2'
_symmetry_Int_Tables_number 187
_symmetry_space_group_name_Hall 'P -6 2'
_cell_length_a 5.2040
_cell_length_b 5.2040
_cell_length_c 3.2588
_cell_angle_alpha 90.00
_cell_angle_beta 90.00
_cell_angle_gamma 120.00
loop_
_atom_site_label
_atom_site_fract_x
_atom_site_fract_y
_atom_site_fract_z
Si1 0.0000 0.0000 0.0000
Sb1 0.3333 0.6667 0.0000
Pb1 0.6667 0.3333 0.5000
```

## Properties
- Uncorrected energy: -4.024 eV per atom
- Energy relative to the lowest polymorph listed for this composition: 167 meV per atom
- Raw formation energy: 0.394 eV/atom

Record 4
Na2ZnAs | PBE | relaxed

Structure (CIF):
```
data_Na2ZnAs
_symmetry_space_group_name_H-M 'C 1 2/c 1'
_symmetry_Int_Tables_number 15
_symmetry_space_group_name_Hall '-C 2yc'
_cell_length_a 10.179
_cell_length_b 5.159
_cell_length_c 9.930
_cell_angle_alpha 90.00
_cell_angle_beta 119.95
_cell_angle_gamma 90.00
loop_
_atom_site_label
_atom_site_fract_x
_atom_site_fract_y
_atom_site_fract_z
Na1 0.176 0.108 0.097
Zn1 0.000 0.363 0.250
As1 0.000 0.137 0.750
```

## Properties
- Energy of formation from the pure elements: -0.202 eV per atom
- Uncorrected energy: -2.343 eV per atom
- Energy relative to the lowest polymorph listed for this composition: 0 meV per atom

Record 5
Ta2FeBiRu | PBE | relaxed

Structure (CIF):
```
data_Ta2FeBiRu
_symmetry_space_group_name_H-M 'P 4/m m m'
_symmetry_Int_Tables_number 123
_symmetry_space_group_name_Hall '-P 4 2'
_cell_length_a 5.137
_cell_length_b 5.137
_cell_length_c 4.842
_cell_angle_alpha 90.00
_cell_angle_beta 90.00
_cell_angle_gamma 90.00
loop_
_atom_site_label
_atom_site_fract_x
_atom_site_fract_y
_atom_site_fract_z
Ta1 0.000 0.500 0.000
Fe1 0.000 0.000 0.500
Bi1 0.500 0.500 0.000
Ru1 0.500 0.500 0.500
```

## Properties
- Energy of formation from the pure elements: 2.492 eV per atom
- Uncorrected energy: -6.573 eV per atom

Please write out number 1 again, unchanged.
PaVMo | PBE | relaxed

Structure (CIF):
```
data_PaVMo
_symmetry_space_group_name_H-M 'P 3 m 1'
_symmetry_Int_Tables_number 156
_symmetry_space_group_name_Hall 'P 3 -2"'
_cell_length_a 4.5207
_cell_length_b 4.5207
_cell_length_c 2.9814
_cell_angle_alpha 90.00
_cell_angle_beta 90.00
_cell_angle_gamma 120.00
loop_
_atom_site_label
_atom_site_fract_x
_atom_site_fract_y
_atom_site_fract_z
Pa1 0.0000 0.0000 0.0000
V1 0.3333 0.6667 0.6742
Mo1 0.6667 0.3333 0.2874
```

## Properties
- Energy of formation from the pure elements: 0.133 eV per atom
- Uncorrected energy: -9.682 eV per atom
- Energy relative to the lowest polymorph listed for this composition: 0 meV per atom

Question: Look up the uncorrected energy of the first one.
Answer: -9.682 eV per atom